# Ba2ReAuO6 (PBE-GGA, optimized geometry)
# - Magnetic moment: 0.00 μB/atom
data_Ba2ReAuO6
_cell_length_a 6.1016
_cell_length_b 6.1016
_cell_length_c 14.1196
_cell_angle_alpha 90.00
_cell_angle_beta 90.00
_cell_angle_gamma 120.00
_space_group_name_H-M_alt 'R 3'
_space_group_IT_number 146
_space_group_name_Hall 'R 3'
loop_
_atom_site_label
_atom_site_fract_x
_atom_site_fract_y
_atom_site_fract_z
Ba1 0.0000 0.0000 0.0000
Ba2 0.0000 0.0000 0.4975
Re1 0.0000 0.0000 0.7437
Au1 0.0000 0.0000 0.2636
O1 0.0424 0.5840 0.4817
O2 0.1228 0.3900 0.3260

---

BaAuS2O6: optimized geometry, PBE-GGA.

```
data_BaAuS2O6
_cell_length_a 7.982
_cell_length_b 5.268
_cell_length_c 15.617
_cell_angle_alpha 90.00
_cell_angle_beta 90.59
_cell_angle_gamma 90.00
_space_group_name_H-M_alt 'C 1 2/c 1'
_space_group_IT_number 15
loop_
_space_group_symop_operation_xyz
'x,y,z'
'-x,-y,-z'
'-x,y,-z+1/2'
'x,-y,z+1/2'
'x+1/2,y+1/2,z'
'-x+1/2,-y+1/2,-z'
'-x+1/2,y+1/2,-z+1/2'
'x+1/2,-y+1/2,z+1/2'
loop_
_atom_site_label
_atom_site_fract_x
_atom_site_fract_y
_atom_site_fract_z
Ba1 0.000 0.040 0.250
Au1 0.000 0.000 0.000
S1 0.128 0.494 0.400
O1 0.026 0.311 0.093
O2 0.038 0.242 0.893
O3 0.188 0.456 0.309
```

---

# BaScAuO3 (PBE-GGA, optimized geometry)
# - Magnetic moment: 0.00 μB/atom
data_BaScAuO3
_cell_length_a 3.476
_cell_length_b 13.698
_cell_length_c 8.512
_cell_angle_alpha 90.00
_cell_angle_beta 90.00
_cell_angle_gamma 90.00
_space_group_name_H-M_alt 'C m c m'
_space_group_IT_number 63
_space_group_name_Hall '-C 2c 2'
loop_
_atom_site_label
_atom_site_fract_x
_atom_site_fract_y
_atom_site_fract_z
Ba1 0.000 0.183 0.250
Sc1 0.000 0.500 0.000
Au1 0.000 0.113 0.750
O1 0.000 0.100 0.514
O2 0.000 0.454 0.750

---

BaAuSe2O6: optimized geometry, PBE-GGA.

```
data_BaAuSe2O6
_cell_length_a 8.001
_cell_length_b 5.456
_cell_length_c 15.943
_cell_angle_alpha 90.00
_cell_angle_beta 90.18
_cell_angle_gamma 90.00
_space_group_name_H-M_alt 'C 1 2/c 1'
_space_group_IT_number 15
loop_
_space_group_symop_operation_xyz
'x,y,z'
'-x,-y,-z'
'-x,y,-z+1/2'
'x,-y,z+1/2'
'x+1/2,y+1/2,z'
'-x+1/2,-y+1/2,-z'
'-x+1/2,y+1/2,-z+1/2'
'x+1/2,-y+1/2,z+1/2'
loop_
_atom_site_label
_atom_site_fract_x
_atom_site_fract_y
_atom_site_fract_z
Ba1 0.000 0.048 0.250
Au1 0.000 0.000 0.000
Se1 0.132 0.495 0.404
O1 0.029 0.224 0.892
O2 0.044 0.303 0.087
O3 0.188 0.443 0.303
```

---

The records above yield raw total energy values of -202.0; -227.0; -157.5; -212.8 eV for the cell shown, respectively.